# 1
First-principles (PBE) data for crystalline Sr2Be3AlSi4 at its relaxed geometry, as listed in Alexandria via LeMat-Bulk.

Summary:
For the density, the calculation gives 3.30 g cm⁻³. Its uncorrected formation energy is -0.203 eV per atom. The energy comes out at -4.20 eV/atom.

CIF file:
```
data_Sr2Be3AlSi4
_chemical_formula_sum 'Sr2 Be3 Al1 Si4'
_cell_length_a 4.1369
_cell_length_b 4.1369
_cell_length_c 10.0582
_cell_angle_alpha 90.00
_cell_angle_beta 90.00
_cell_angle_gamma 90.00
_symmetry_space_group_name_H-M 'P -4 m 2'
_symmetry_Int_Tables_number 115
loop_
_symmetry_equiv_pos_as_xyz
'x,y,z'
'y,-x,-z'
'-x,-y,z'
'-y,x,-z'
'-x,y,z'
'-y,-x,-z'
'x,-y,z'
'y,x,-z'
loop_
_atom_site_label
_atom_site_type_symbol
_atom_site_fract_x
_atom_site_fract_y
_atom_site_fract_z
Sr1 Sr 0.0000 0.5000 0.2424
Be1 Be 0.0000 0.5000 0.8775
Be2 Be 0.5000 0.5000 0.5000
Al1 Al 0.0000 0.0000 0.5000
Si1 Si 0.0000 0.0000 0.0000
Si2 Si 0.0000 0.5000 0.6385
Si3 Si 0.5000 0.5000 0.0000
```

=====

# 2
First-principles (PBE) data for crystalline Tc2RuPt at its relaxed geometry, as listed in Alexandria via LeMat-Bulk.

Summary:
For the density, the calculation gives 13.69 g cm⁻³. The calculation puts the polymorph energy (0 for the lowest one) at 457 meV/atom. The value obtained for the energy of formation is 0.304 eV/atom. The energy comes out at -8.71 eV/atom.

CIF file:
```
data_Tc2RuPt
_chemical_formula_sum 'Tc8 Ru4 Pt4'
_cell_length_a 6.2037
_cell_length_b 6.2037
_cell_length_c 6.2037
_cell_angle_alpha 90.00
_cell_angle_beta 90.00
_cell_angle_gamma 90.00
_symmetry_space_group_name_H-M 'F -4 3 m'
_symmetry_Int_Tables_number 216
_symmetry_space_group_name_Hall 'F -4 2 3'
loop_
_atom_site_label
_atom_site_type_symbol
_atom_site_fract_x
_atom_site_fract_y
_atom_site_fract_z
Tc1 Tc 0.0000 0.0000 0.0000
Tc2 Tc 0.2500 0.2500 0.2500
Ru1 Ru 0.2500 0.2500 0.7500
Pt1 Pt 0.0000 0.0000 0.5000
```

=====

# 3
First-principles (PBE) data for crystalline NiPdW3 at its relaxed geometry, as listed in Alexandria via LeMat-Bulk.

Summary:
For the density, the calculation gives 11.53 g cm⁻³. The calculation puts the polymorph energy (0 for the lowest one) at 1054 meV/atom. The value obtained for the energy of formation is 2.546 eV/atom. The energy comes out at -7.42 eV/atom.

CIF file:
```
data_NiPdW3
_chemical_formula_sum 'Ni1 Pd1 W3'
_cell_length_a 4.6908
_cell_length_b 4.6908
_cell_length_c 4.6908
_cell_angle_alpha 90.00
_cell_angle_beta 90.00
_cell_angle_gamma 90.00
_symmetry_space_group_name_H-M 'P m -3 m'
_symmetry_Int_Tables_number 221
_symmetry_space_group_name_Hall '-P 4 2 3'
loop_
_atom_site_label
_atom_site_type_symbol
_atom_site_fract_x
_atom_site_fract_y
_atom_site_fract_z
Ni1 Ni 0.0000 0.0000 0.0000
Pd1 Pd 0.5000 0.5000 0.5000
W1 W 0.0000 0.5000 0.5000
```

=====

# 4
First-principles (PBE) data for crystalline PmNd2Sm2Ho4 at its relaxed geometry, as listed in Alexandria via LeMat-Bulk.

Summary:
For the density, the calculation gives 7.81 g cm⁻³. The value obtained for the energy of formation is 0.000 eV/atom. The energy comes out at -4.67 eV/atom.

CIF file:
```
data_PmNd2Sm2Ho4
_chemical_formula_sum 'Pm2 Nd4 Sm4 Ho8'
_cell_length_a 18.8196
_cell_length_b 3.6293
_cell_length_c 9.6395
_cell_angle_alpha 90.00
_cell_angle_beta 115.75
_cell_angle_gamma 90.00
_symmetry_space_group_name_H-M 'C 1 2/m 1'
_symmetry_Int_Tables_number 12
loop_
_symmetry_equiv_pos_as_xyz
'x,y,z'
'-x,-y,-z'
'-x,y,-z'
'x,-y,z'
'x+1/2,y+1/2,z'
'-x+1/2,-y+1/2,-z'
'-x+1/2,y+1/2,-z'
'x+1/2,-y+1/2,z'
loop_
_atom_site_label
_atom_site_type_symbol
_atom_site_fract_x
_atom_site_fract_y
_atom_site_fract_z
Pm1 Pm 0.0000 0.0000 0.0000
Nd1 Nd 0.1662 0.5000 0.0018
Sm1 Sm 0.1471 0.0000 0.6629
Ho1 Ho 0.0196 0.5000 0.3344
Ho2 Ho 0.1853 0.0000 0.3367
```

=====

# 5
First-principles (PBE) data for crystalline LaPmSm2Er at its relaxed geometry, as listed in Alexandria via LeMat-Bulk.

Summary:
For the density, the calculation gives 7.13 g cm⁻³. The value obtained for the energy of formation is 0.275 eV/atom. The energy comes out at -4.46 eV/atom.

CIF file:
```
data_LaPmSm2Er
_chemical_formula_sum 'La2 Pm2 Sm4 Er2'
_cell_length_a 8.5655
_cell_length_b 6.5172
_cell_length_c 6.3085
_cell_angle_alpha 90.00
_cell_angle_beta 96.33
_cell_angle_gamma 90.00
_symmetry_space_group_name_H-M 'P 1 2/c 1'
_symmetry_Int_Tables_number 13
loop_
_symmetry_equiv_pos_as_xyz
'x,y,z'
'-x,-y,-z'
'-x,y,-z+1/2'
'x,-y,z+1/2'
loop_
_atom_site_label
_atom_site_type_symbol
_atom_site_fract_x
_atom_site_fract_y
_atom_site_fract_z
La1 La 0.0000 0.0000 0.0000
Pm1 Pm 0.0000 0.4407 0.2500
Sm1 Sm 0.3145 0.3127 0.7152
Er1 Er 0.5000 0.1674 0.2500
```

=====

# 6
First-principles (PBE) data for crystalline ScTl2In at its relaxed geometry, as listed in Alexandria via LeMat-Bulk.

Summary:
For the density, the calculation gives 9.02 g cm⁻³. The value obtained for the energy of formation is -0.070 eV/atom. The energy comes out at -3.52 eV/atom.

CIF file:
```
data_ScTl2In
_chemical_formula_sum 'Sc2 Tl4 In2'
_cell_length_a 6.4763
_cell_length_b 11.0177
_cell_length_c 3.4449
_cell_angle_alpha 90.00
_cell_angle_beta 121.65
_cell_angle_gamma 90.00
_symmetry_space_group_name_H-M 'C 1 2/m 1'
_symmetry_Int_Tables_number 12
loop_
_symmetry_equiv_pos_as_xyz
'x,y,z'
'-x,-y,-z'
'-x,y,-z'
'x,-y,z'
'x+1/2,y+1/2,z'
'-x+1/2,-y+1/2,-z'
'-x+1/2,y+1/2,-z'
'x+1/2,-y+1/2,z'
loop_
_atom_site_label
_atom_site_type_symbol
_atom_site_fract_x
_atom_site_fract_y
_atom_site_fract_z
Sc1 Sc 0.0000 0.0000 0.0000
Tl1 Tl 0.2500 0.2500 0.5000
In1 In 0.0000 0.5000 0.0000
```

=====

# 7
First-principles (PBE) data for crystalline LiGdScSi at its relaxed geometry, as listed in Alexandria via LeMat-Bulk.

Summary:
For the density, the calculation gives 4.92 g cm⁻³. Its uncorrected formation energy is -0.371 eV per atom. The energy comes out at -7.31 eV/atom.

CIF file:
```
data_LiGdScSi
_chemical_formula_sum 'Li4 Gd4 Sc4 Si4'
_cell_length_a 6.8440
_cell_length_b 6.8440
_cell_length_c 6.8440
_cell_angle_alpha 90.00
_cell_angle_beta 90.00
_cell_angle_gamma 90.00
_symmetry_space_group_name_H-M 'F -4 3 m'
_symmetry_Int_Tables_number 216
_symmetry_space_group_name_Hall 'F -4 2 3'
loop_
_atom_site_label
_atom_site_type_symbol
_atom_site_fract_x
_atom_site_fract_y
_atom_site_fract_z
Li1 Li 0.0000 0.0000 0.0000
Gd1 Gd 0.2500 0.2500 0.2500
Sc1 Sc 0.2500 0.2500 0.7500
Si1 Si 0.0000 0.0000 0.5000
```

=====

# 8
First-principles (PBE) data for crystalline Sr3Au5 at its relaxed geometry, as listed in Alexandria via LeMat-Bulk.

Summary:
For the density, the calculation gives 8.91 g cm⁻³. The calculation puts the polymorph energy (0 for the lowest one) at 32 meV/atom. The value obtained for the energy of formation is -0.590 eV/atom. The energy comes out at -3.27 eV/atom.

CIF file:
```
data_Sr3Au5
_chemical_formula_sum 'Sr6 Au10'
_cell_length_a 9.2063
_cell_length_b 9.2063
_cell_length_c 6.3392
_cell_angle_alpha 90.00
_cell_angle_beta 90.00
_cell_angle_gamma 120.00
_symmetry_space_group_name_H-M 'P 63/m c m'
_symmetry_Int_Tables_number 193
_symmetry_space_group_name_Hall '-P 6c 2'
loop_
_atom_site_label
_atom_site_type_symbol
_atom_site_fract_x
_atom_site_fract_y
_atom_site_fract_z
Sr1 Sr 0.0000 0.3363 0.2500
Au1 Au 0.0000 0.3343 0.7500
Au2 Au 0.3333 0.6667 0.0000
```

=====

| no. | calculated volume (Å³/cell) |
| --- | --- |
| 1 | 172 |
| 2 | 239 |
| 3 | 103 |
| 4 | 593 |
| 5 | 350 |
| 6 | 209 |
| 7 | 321 |
| 8 | 465 |